# TlRhW2 (GGA-PBEsol, optimized geometry)
data_TlRhW2
_cell_length_a 3.814
_cell_length_b 3.814
_cell_length_c 8.907
_cell_angle_alpha 90.00
_cell_angle_beta 90.00
_cell_angle_gamma 90.00
_space_group_name_H-M_alt 'I 4/m m m'
_space_group_IT_number 139
_space_group_name_Hall '-I 4 2'
loop_
_atom_site_label
_atom_site_fract_x
_atom_site_fract_y
_atom_site_fract_z
Tl1 0.000 0.000 0.000
Rh1 0.000 0.000 0.500
W1 0.000 0.500 0.250
# Calculated volume in Å³/cell: 129.6
# Total DFT energy (no corrections) in eV per atom: -9.11
# Formation energy in eV per atom: 0.484